A geometry-optimized FeP2OF structure, computed with PBE+U.

Cell: 4.587 4.587 3.635 Å, 90.00 90.00 90.00°
Space group P4/mmm (No. 123)
Symmetry-distinct sites (fractional):
Fe 0.000 0.000 0.000
P 0.000 0.500 0.000
O 0.000 0.000 0.500
F 0.500 0.500 0.500

Summary:
Distance to the lowest polymorph of the same formula, meV/atom: 0.0
Calculated total energy, eV/atom: -4.36